# VRePO2

Crystalline VRePO2 at its relaxed geometry (PBE with a Hubbard U, Alexandria).

Summary:
Magnetization = 3.15 μB per formula unit
Energy relative to the lowest polymorph listed for this composition = 0.000 eV/atom

Structure (POSCAR):
```
VRePO2
1.0
3.782 0.000 0.000
0.000 3.782 0.000
0.000 0.000 5.268
P O V Re
1 2 1 1
direct
0.000 0.000 0.500 P
0.500 0.000 0.000 O
0.000 0.500 0.000 O
0.500 0.500 0.500 V
0.000 0.000 0.000 Re
```

***

# VRePO2

Crystalline VRePO2 at its relaxed geometry (PBE with a Hubbard U, Alexandria).

Summary:
Magnetization = 4.51 μB per formula unit
Energy relative to the lowest polymorph listed for this composition = 0.424 eV/atom

Structure (POSCAR):
```
VRePO2
1.0
3.649 0.000 0.000
0.000 3.649 0.000
0.000 0.000 5.498
P O V Re
1 2 1 1
direct
0.000 0.000 0.500 P
0.500 0.000 0.000 O
0.000 0.500 0.000 O
0.000 0.000 0.000 V
0.500 0.500 0.500 Re
```

***

# VRe2PO

Crystalline VRe2PO at its relaxed geometry (PBE with a Hubbard U, Alexandria).

Summary:
Magnetization = 0.15 μB per formula unit
Calculated total energy = -7.93 eV per atom

Structure (POSCAR):
```
VRe2PO
1.0
4.078 0.000 0.000
0.000 3.937 0.000
0.000 0.000 4.078
Re O P V
2 1 1 1
direct
0.000 0.000 0.500 Re
0.500 0.000 0.000 Re
0.000 0.000 0.000 O
0.500 0.500 0.500 P
0.000 0.500 0.000 V
```

***

# RePWO2

Crystalline RePWO2 at its relaxed geometry (PBE with a Hubbard U, Alexandria).

Summary:
Magnetization = 4.82 μB per formula unit
Energy relative to the lowest polymorph listed for this composition = 0.243 eV/atom

Structure (POSCAR):
```
RePWO2
1.0
3.804 0.000 0.000
0.000 3.804 0.000
0.000 0.000 5.566
O P Re W
2 1 1 1
direct
0.000 0.500 0.000 O
0.500 0.000 0.000 O
0.000 0.000 0.500 P
0.500 0.500 0.500 Re
0.000 0.000 0.000 W
```

***

# RePWO2

Crystalline RePWO2 at its relaxed geometry (PBE with a Hubbard U, Alexandria).

Summary:
Magnetization = 3.48 μB per formula unit
Energy relative to the lowest polymorph listed for this composition = 0.000 eV/atom

Structure (POSCAR):
```
RePWO2
1.0
3.765 0.000 0.000
0.000 3.765 0.000
0.000 0.000 5.487
O Re P W
2 1 1 1
direct
0.000 0.500 0.000 O
0.500 0.000 0.000 O
0.000 0.000 0.000 Re
0.000 0.000 0.500 P
0.500 0.500 0.500 W
```